Record 1
# FeAgCl4, relaxed, DFT PBE
# total moment	4.9	μB/f.u.
data_FeAgCl4
_chemical_formula_sum 'Fe2 Ag2 Cl8'
_cell_length_a 6.2247
_cell_length_b 6.2257
_cell_length_c 10.7619
_cell_angle_alpha 90.00
_cell_angle_beta 90.00
_cell_angle_gamma 90.00
_symmetry_space_group_name_H-M 'P 2 2 2'
_symmetry_Int_Tables_number 16
_symmetry_space_group_name_Hall 'P 2 2'
loop_
_atom_site_label
_atom_site_type_symbol
_atom_site_fract_x
_atom_site_fract_y
_atom_site_fract_z
Fe1 Fe 0.0000 0.0000 0.0000
Fe2 Fe 0.5000 0.0000 0.5000
Ag1 Ag 0.0000 0.0000 0.5000
Ag2 Ag 0.0000 0.5000 0.0000
Cl1 Cl 0.2097 0.2046 0.8808
Cl2 Cl 0.2964 0.2125 0.3822

=====

Record 2
# CrInCl2, relaxed, DFT PBE
# density of states at the Fermi level	0.66	states/eV/atom
# total moment	4.3	μB/f.u.
# ΔE to the lowest computed polymorph	0.087	eV per atom
data_CrInCl2
_chemical_formula_sum 'Cr2 In2 Cl4'
_cell_length_a 3.3509
_cell_length_b 3.4161
_cell_length_c 17.5754
_cell_angle_alpha 90.00
_cell_angle_beta 90.00
_cell_angle_gamma 90.00
_symmetry_space_group_name_H-M 'I m m 2'
_symmetry_Int_Tables_number 44
_symmetry_space_group_name_Hall 'I 2 -2'
loop_
_atom_site_label
_atom_site_type_symbol
_atom_site_fract_x
_atom_site_fract_y
_atom_site_fract_z
Cr1 Cr 0.0000 0.0000 0.0000
In1 In 0.0000 0.5000 0.7464
Cl1 Cl 0.0000 0.0000 0.5729
Cl2 Cl 0.0000 0.5000 0.4015

=====

Record 3
# Si4AsRu, relaxed, DFT PBE
# density of states at the Fermi level	0.93	states/eV/atom
# total moment	0.0	μB/f.u.
data_Si4AsRu
_chemical_formula_sum 'Si16 As4 Ru4'
_cell_length_a 7.1211
_cell_length_b 7.1211
_cell_length_c 7.1211
_cell_angle_alpha 90.00
_cell_angle_beta 90.00
_cell_angle_gamma 90.00
_symmetry_space_group_name_H-M 'F -4 3 m'
_symmetry_Int_Tables_number 216
_symmetry_space_group_name_Hall 'F -4 2 3'
loop_
_atom_site_label
_atom_site_type_symbol
_atom_site_fract_x
_atom_site_fract_y
_atom_site_fract_z
Si1 Si 0.1246 0.1246 0.1246
As1 As 0.2500 0.2500 0.7500
Ru1 Ru 0.0000 0.0000 0.5000

=====

For the records above, the corresponding uncorrected energy values read -45.4 -35.7 -127.4 eV/cell.